Computed, not measured: a crystal of HgRhW2 relaxed with PBEsol at the SCAN level of DFT.

The structure in CIF format:
```
data_HgRhW2
_chemical_formula_sum 'Hg1 Rh1 W2'
_symmetry_space_group_name_H-M 'P 4/m m m'
_symmetry_Int_Tables_number 123
_symmetry_space_group_name_Hall '-P 4 2'
_cell_length_a 3.849
_cell_length_b 3.849
_cell_length_c 4.254
_cell_angle_alpha 90.00
_cell_angle_beta 90.00
_cell_angle_gamma 90.00
loop_
_atom_site_label
_atom_site_fract_x
_atom_site_fract_y
_atom_site_fract_z
Hg1 0.000 0.000 0.000
Rh1 0.500 0.500 0.000
W1 0.000 0.500 0.500
```

DOS at the Fermi energy, states/eV per cell: 3.347
M_tot, μB/f.u.: 0.0
Calculated formation energy, kJ per mole of atoms: 46.31


Computed, not measured: a crystal of CaCr2Se relaxed with PBEsol at the SCAN level of DFT.

The structure in CIF format:
```
data_CaCr2Se
_chemical_formula_sum 'Ca4 Cr8 Se4'
_symmetry_space_group_name_H-M 'F -4 3 m'
_symmetry_Int_Tables_number 216
_symmetry_space_group_name_Hall 'F -4 2 3'
_cell_length_a 6.728
_cell_length_b 6.728
_cell_length_c 6.728
_cell_angle_alpha 90.00
_cell_angle_beta 90.00
_cell_angle_gamma 90.00
loop_
_atom_site_label
_atom_site_fract_x
_atom_site_fract_y
_atom_site_fract_z
Ca1 0.000 0.000 0.000
Cr1 0.000 0.000 0.500
Cr2 0.250 0.250 0.750
Se1 0.250 0.250 0.250
```

ΔE_f (raw), eV per atom: -0.11
DOS at the Fermi energy, states/eV per cell: 7.756
M_tot, μB/f.u.: 0.4


Computed, not measured: a crystal of AlTl2SnIr relaxed with PBEsol at the SCAN level of DFT.

The structure in CIF format:
```
data_AlTl2SnIr
_chemical_formula_sum 'Al1 Tl2 Sn1 Ir1'
_symmetry_space_group_name_H-M 'P 4/m m m'
_symmetry_Int_Tables_number 123
_symmetry_space_group_name_Hall '-P 4 2'
_cell_length_a 5.200
_cell_length_b 5.200
_cell_length_c 5.060
_cell_angle_alpha 90.00
_cell_angle_beta 90.00
_cell_angle_gamma 90.00
loop_
_atom_site_label
_atom_site_fract_x
_atom_site_fract_y
_atom_site_fract_z
Al1 0.000 0.000 0.000
Tl1 0.000 0.500 0.500
Sn1 0.500 0.500 0.000
Ir1 0.500 0.500 0.500
```

DOS at the Fermi energy, states/eV per cell: 2.965
M_tot, μB/f.u.: 0.0
Calculated formation energy, kJ per mole of atoms: 36.64


Computed, not measured: a crystal of Ba11Os4O24 relaxed with PBEsol at the SCAN level of DFT.

The structure in CIF format:
```
data_Ba11Os4O24
_chemical_formula_sum 'Ba44 Os16 O96'
_symmetry_space_group_name_H-M 'I 41/a'
_symmetry_Int_Tables_number 88
_cell_length_a 12.247
_cell_length_b 12.247
_cell_length_c 16.635
_cell_angle_alpha 90.00
_cell_angle_beta 90.00
_cell_angle_gamma 90.00
loop_
_symmetry_equiv_pos_as_xyz
'x,y,z'
'-x,-y,-z'
'-y+3/4,x+1/4,z+1/4'
'y+3/4,-x+1/4,-z+1/4'
'-x+1/2,-y,z+1/2'
'x+1/2,y,-z+1/2'
'y+3/4,-x+3/4,z+3/4'
'-y+3/4,x+3/4,-z+3/4'
'x+1/2,y+1/2,z+1/2'
'-x+1/2,-y+1/2,-z+1/2'
'-y+1/4,x+3/4,z+3/4'
'y+1/4,-x+3/4,-z+3/4'
'-x,-y+1/2,z'
'x,y+1/2,-z'
'y+1/4,-x+1/4,z+1/4'
'-y+1/4,x+1/4,-z+1/4'
loop_
_atom_site_label
_atom_site_fract_x
_atom_site_fract_y
_atom_site_fract_z
Ba1 0.000 0.250 0.125
Ba2 0.000 0.250 0.361
Ba3 0.028 0.041 0.719
Ba4 0.207 0.013 0.136
Os1 0.000 0.000 0.000
Os2 0.000 0.000 0.500
O1 0.012 0.488 0.115
O2 0.074 0.426 0.584
O3 0.094 0.120 0.480
O4 0.099 0.437 0.424
O5 0.111 0.111 0.002
O6 0.114 0.386 0.988
```

ΔE_f (raw), eV per atom: -2.30
DOS at the Fermi energy, states/eV per cell: 37.468
M_tot, μB/f.u.: 6.0


Computed, not measured: a crystal of TaTeIr relaxed with PBEsol at the SCAN level of DFT.

The structure in CIF format:
```
data_TaTeIr
_chemical_formula_sum 'Ta1 Te1 Ir1'
_symmetry_space_group_name_H-M 'P 3 m 1'
_symmetry_Int_Tables_number 156
_cell_length_a 4.5519
_cell_length_b 4.5519
_cell_length_c 2.9462
_cell_angle_alpha 90.00
_cell_angle_beta 90.00
_cell_angle_gamma 120.00
loop_
_symmetry_equiv_pos_as_xyz
'x,y,z'
'-y,x-y,z'
'-x+y,-x,z'
'-y,-x,z'
'-x+y,y,z'
'x,x-y,z'
loop_
_atom_site_label
_atom_site_fract_x
_atom_site_fract_y
_atom_site_fract_z
Ta1 0.0000 0.0000 0.0000
Te1 0.3333 0.6667 0.5001
Ir1 0.6667 0.3333 0.4731
```

ΔE_f (raw), eV per atom: 0.22
DOS at the Fermi energy, states/eV per cell: 2.714
M_tot, μB/f.u.: 0.0


Computed, not measured: a crystal of SrYTi3 relaxed with PBEsol at the SCAN level of DFT.

The structure in CIF format:
```
data_SrYTi3
_chemical_formula_sum 'Sr1 Y1 Ti3'
_symmetry_space_group_name_H-M 'P m -3 m'
_symmetry_Int_Tables_number 221
_symmetry_space_group_name_Hall '-P 4 2 3'
_cell_length_a 5.045
_cell_length_b 5.045
_cell_length_c 5.045
_cell_angle_alpha 90.00
_cell_angle_beta 90.00
_cell_angle_gamma 90.00
loop_
_atom_site_label
_atom_site_fract_x
_atom_site_fract_y
_atom_site_fract_z
Sr1 0.000 0.000 0.000
Y1 0.500 0.500 0.500
Ti1 0.000 0.500 0.500
```

DOS at the Fermi energy, states/eV per cell: 4.074
M_tot, μB/f.u.: 5.0
Calculated formation energy, kJ per mole of atoms: 114.96


Sequential electronic total energy output: -59.8484; -16.7361; -51.5180; -24.6572; -58.0898; -18.4501 eV per atom